No. 1
Compound: K2AlSi
Source: the Alexandria database
Functional: GGA-PBEsol
Structure: optimized geometry

a b c (Å): 5.3039 5.3039 5.3039
angles (deg): 60.00 60.00 60.00
Closest atoms and distances in Å follow each position.
Positions (direct):
K1 0.0000 0.0000 0.0000  4 Si 3.25, 4 K 3.25
K2 0.2500 0.2500 0.2500  4 K 3.25, 4 Al 3.25
Al1 0.5000 0.5000 0.5000  4 K 3.25, 4 Si 3.25
Si1 0.7500 0.7500 0.7500  4 K 3.25, 4 Al 3.25

Results
- space group = F-43m
- total moment (μB per cell) = 0.00
- DOS at the Fermi energy (states/eV per cell) = 1.885
- formation energy (no corrections) (eV per atom) = 0.4165
- E above lowest polymorph (eV per atom) = 0.4131



No. 2
Compound: KAl2Si
Source: the Alexandria database
Functional: GGA-PBEsol
Structure: optimized geometry

a b c (Å): 5.5694 5.5694 5.5694
angles (deg): 135.91 109.23 87.27
Closest atoms and distances in Å follow each position.
Positions (direct):
K1 0.0000 0.0000 0.0000  4 Si 3.32-3.54, 4 Al 3.40-3.49
Al1 0.4693 0.4693 0.0000  2 Si 2.41, 2 Al 2.63
Al2 0.6667 0.1667 0.5000  2 Al 2.63, 1 Si 2.79
Si1 0.3204 0.8204 0.5000  2 Al 2.41

Results
- space group = Imm2
- total moment (μB per cell) = 0.00
- DOS at the Fermi energy (states/eV per cell) = 2.173
- formation energy (no corrections) (eV per atom) = 0.4476



No. 3
Compound: KAl2Si
Source: the Alexandria database
Functional: GGA-PBEsol
Structure: optimized geometry

a b c (Å): 5.8881 5.8881 2.7398
angles (deg): 90.00 90.00 118.38
Closest atoms and distances in Å follow each position.
Positions (direct):
K1 0.0000 0.0000 0.0000  2 K 2.74, 2 Si 3.02
Al1 0.0000 0.5000 0.5000  4 Al 2.74-3.02
Al2 0.5000 0.0000 0.5000  4 Al 2.74-3.02
Si1 0.5000 0.5000 0.0000  2 Si 2.74, 2 K 3.02

Results
- space group = Cmmm
- total moment (μB per cell) = 0.00
- DOS at the Fermi energy (states/eV per cell) = 1.570
- formation energy (no corrections) (eV per atom) = 0.5347



No. 4
Compound: KAl2Si
Source: the Alexandria database
Functional: GGA-PBEsol
Structure: optimized geometry

a b c (Å): 2.8954 4.2909 7.3801
angles (deg): 90.00 100.94 90.00
Closest atoms and distances in Å follow each position.
Positions (direct):
K1 0.0000 0.0000 0.0000  2 K 2.90
Al1 0.3288 0.5000 0.6714  2 Si 2.59, 4 Al 2.86-2.90
Al2 0.6712 0.5000 0.3286  2 Si 2.59, 4 Al 2.86-2.90
Si1 0.5000 0.0000 0.5000  4 Al 2.59, 2 Si 2.90

Results
- space group = P2/m
- total moment (μB per cell) = 0.00
- DOS at the Fermi energy (states/eV per cell) = 1.737
- formation energy (no corrections) (eV per atom) = 0.2450



No. 5
Compound: K2AlSi
Source: the Alexandria database
Functional: GGA-PBEsol
Structure: optimized geometry

a b c (Å): 6.2635 6.2635 5.7854
angles (deg): 117.32 117.32 39.22
Closest atoms and distances in Å follow each position.
Positions (direct):
K1 0.0000 0.0000 0.0000  2 K 3.44-3.45, 4 Si 3.53-3.74, 4 Al 3.72-3.79
K2 0.1812 0.1812 0.6788  2 K 3.44-3.45, 4 Al 3.58-3.67, 4 Si 3.65-3.75
Al1 0.3893 0.3893 0.3814  2 Si 2.41
Si1 0.7746 0.7746 0.2824  2 Al 2.41

Results
- space group = Cm
- total moment (μB per cell) = 0.00
- DOS at the Fermi energy (states/eV per cell) = 2.092
- formation energy (no corrections) (eV per atom) = 0.1337
- E above lowest polymorph (eV per atom) = 0.1304



No. 6
Compound: KAl2Si
Source: the Alexandria database
Functional: GGA-PBEsol
Structure: optimized geometry

a b c (Å): 4.5622 4.5622 7.2084
angles (deg): 96.26 96.26 38.45
Closest atoms and distances in Å follow each position.
Positions (direct):
K1 0.0000 0.0000 0.0000  2 K 3.00
Al1 0.2317 0.2317 0.6479  3 Al 2.67-2.73, 2 Si 2.75
Al2 0.4918 0.4918 0.4790  3 Si 2.62-2.64, 3 Al 2.67-2.73
Si1 0.7572 0.7572 0.3338  5 Al 2.62-2.75

Results
- space group = Cm
- total moment (μB per cell) = 0.00
- DOS at the Fermi energy (states/eV per cell) = 1.439
- formation energy (no corrections) (eV per atom) = 0.1753



No. 7
Compound: K2AlSi
Source: the Alexandria database
Functional: GGA-PBEsol
Structure: optimized geometry

a b c (Å): 3.6225 3.6225 9.9684
angles (deg): 90.00 90.00 90.00
Closest atoms and distances in Å follow each position.
Positions (direct):
K1 0.0000 0.0000 0.0000  1 Si 3.34, 4 K 3.62, 4 Al 3.68
K2 0.5000 0.5000 0.4095  1 Al 3.25, 4 Si 3.61, 4 K 3.62
Al1 0.5000 0.5000 0.7350  4 Si 2.66
Si1 0.0000 0.0000 0.6648  4 Al 2.66

Results
- space group = P4mm
- total moment (μB per cell) = 0.00
- DOS at the Fermi energy (states/eV per cell) = 2.719
- formation energy (no corrections) (eV per atom) = 0.2380
- E above lowest polymorph (eV per atom) = 0.2346



No. 8
Compound: KAlSi
Source: the Alexandria database
Functional: GGA-PBEsol
Structure: optimized geometry

a b c (Å): 4.2186 4.2186 5.4202
angles (deg): 90.00 90.00 120.00
Closest atoms and distances in Å follow each position.
Positions (direct):
K1 0.0000 0.0000 0.0000  6 Al 3.64, 6 Si 3.64
Al1 0.6667 0.3333 0.5000  3 Si 2.44
Si1 0.3333 0.6667 0.5000  3 Al 2.44

Results
- space group = P-6m2
- total moment (μB per cell) = 0.00
- DOS at the Fermi energy (states/eV per cell) = 0.041
- formation energy (no corrections) (eV per atom) = -0.0123